A geometry-optimized YFeTe2I structure. Source: Alexandria via LeMat-Bulk, functional PBE.

abc: 5.248 5.248 5.182
angles: 90.00 90.00 90.00
Sites, in units of the cell vectors:
Y: 0.000 0.000 0.000
Fe: 0.500 0.500 0.500
Te: 0.000 0.500 0.500
Te: 0.500 0.000 0.500
I: 0.500 0.500 0.000

Computed properties:
ΔE to the lowest computed polymorph = 105.0 meV per atom
Formation energy from raw total energies = -0.0911 eV/atom
Energy = -4.6431 eV/atom
Calculated volume = 28.5 A^3/atom